The following is a DFT calculation (PBE) of a relaxed structure of LiOsPdCl2.

As for the spin magnetization: 0.0 μB/f.u. Its raw formation energy is 0.31 eV per atom. Its density of states at the Fermi level is 0.888 states/eV per atom. As for the symmetry: P4/mmm, No. 123. The value obtained for the final energy is -4.098 eV/atom.

Cell lengths 4.7623, 4.9665, 4.7623 Å; angles 90.00, 90.00, 90.00 degrees
With the nearest neighbours (Å) after each atom.
Sites, in units of the cell vectors:
Cl (0.0000, 0.0000, 0.5000)  2 Os 2.38
Cl (0.5000, 0.0000, 0.0000)  2 Os 2.38
Li (0.5000, 0.5000, 0.5000)  4 Pd 3.37, 8 Cl 3.44
Os (0.0000, 0.0000, 0.0000)  4 Cl 2.38, 2 Pd 2.48
Pd (0.0000, 0.5000, 0.0000)  2 Os 2.48